The following is a DFT calculation (PBE-GGA) of crystalline Nd8Co3PdBr4 at its relaxed geometry.

Cell: 9.0898 9.0898 9.0898 Å, 53.10 53.10 53.10°
Fractional coordinates of all 16 atoms:
Nd  0.2157  0.7391  0.7391
Nd  0.2312  0.2312  0.2312
Nd  0.2609  0.2609  0.7843
Nd  0.2609  0.7843  0.2609
Nd  0.7391  0.2157  0.7391
Nd  0.7391  0.7391  0.2157
Nd  0.7688  0.7688  0.7688
Nd  0.7843  0.2609  0.2609
Co  0.0000  0.0000  0.5000
Co  0.0000  0.5000  0.0000
Co  0.5000  0.0000  0.0000
Pd  0.5000  0.5000  0.5000
Br  0.0000  0.0000  0.0000
Br  0.0000  0.5000  0.5000
Br  0.5000  0.0000  0.5000
Br  0.5000  0.5000  0.0000

Values from the calculation:
- ΔE_f (raw) (eV/atom) = -0.80
- DFT total energy (eV/atom) = -5.26